Record 1
Material: CsSrHoBr6
Method: DFT, PBE
State: relaxed

```
18
Lattice="7.7419 0.0000 0.0000 -3.8709 6.7047 0.0000 0.0000 0.0000 15.6621" Properties=species:S:1:pos:R:3 pbc="T T T"
Cs 0.0000 0.0000 0.0000
Cs 0.0000 0.0000 7.8311
Sr 0.0000 4.4698 3.9155
Sr 3.8709 2.2349 11.7466
Ho 0.0000 4.4698 11.7466
Ho 3.8709 2.2349 3.9155
Br -1.3073 2.6060 10.1007
Br -2.2678 4.2695 13.3925
Br 1.3073 2.6060 13.3925
Br -0.9604 6.5339 10.1007
Br 2.9105 0.1708 2.2697
Br 1.6032 2.4352 5.5614
Br 2.2678 4.2695 10.1007
Br 0.9604 6.5339 13.3925
Br 4.8314 0.1708 5.5614
Br 2.5636 4.0987 2.2697
Br 6.1387 2.4352 2.2697
Br 5.1783 4.0987 5.5614
```

Values from the calculation:
- SG: No. 163
- Raw formation energy: -1975 meV per atom


Record 2
Material: Pr2Zn4Ga3Ag
Method: DFT, PBE
State: relaxed

```
10
Lattice="4.3136 0.0000 0.0000 0.0000 4.3136 0.0000 0.0000 0.0000 10.6717" Properties=species:S:1:pos:R:3 pbc="T T T"
Pr 0.0000 2.1568 2.6111
Pr 2.1568 0.0000 8.0606
Zn 0.0000 0.0000 0.0000
Zn 0.0000 2.1568 6.7835
Zn 2.1568 0.0000 3.8883
Zn 2.1568 2.1568 0.0000
Ga 0.0000 2.1568 9.2428
Ga 2.1568 0.0000 1.4289
Ga 2.1568 2.1568 5.3359
Ag 0.0000 0.0000 5.3359
```

Values from the calculation:
- SG: No. 115


Record 3
Material: La4Ce3ThN8
Method: DFT, PBE
State: relaxed

```
16
Lattice="3.6558 2.1107 6.0090 -3.6558 2.1107 6.0090 0.0000 -4.2214 6.0090" Properties=species:S:1:pos:R:3 pbc="T T T"
La 0.0000 0.0000 0.0000
La -1.8279 -1.0554 6.0090
La -1.8279 1.0554 12.0179
La 0.0000 2.1107 6.0089
Ce -3.6558 0.0000 9.0134
Ce -1.8279 1.0554 3.0045
Ce 1.8279 1.0554 3.0045
Th 0.0000 0.0000 9.0134
N -1.8358 -1.0599 10.3748
N 0.0000 0.0000 4.3614
N 0.0000 -2.1198 7.6521
N -1.8358 1.0599 7.6521
N 1.8358 -1.0599 10.3748
N 0.0000 2.1198 10.3748
N 0.0000 0.0000 13.6654
N 1.8358 1.0599 7.6521
```

Values from the calculation:
- SG: No. 166
- Raw formation energy: -1450 meV per atom


Record 4
Material: K7Rb2Na2
Method: DFT, PBE
State: relaxed

```
11
Lattice="-2.2962 11.1897 7.5447 2.2962 -11.1897 7.5447 2.2962 11.1897 -7.5447" Properties=species:S:1:pos:R:3 pbc="T T T"
K 0.0000 0.0000 0.0000
K 2.2962 -3.3247 4.6150
K 2.2962 3.3247 4.6150
K 2.2962 9.0671 0.7992
K 0.0000 7.4416 4.5408
K 0.0000 2.1226 8.3439
K 0.0000 14.9377 4.5408
Rb 0.0000 4.7056 0.8434
Rb 0.0000 17.6738 0.8434
Na 0.0000 0.0000 4.3373
Na 0.0000 11.1897 3.7717
```

Values from the calculation:
- SG: No. 44
- Energy above the lowest structure with this stoichiometry: 23.4 meV/atom


Record 5
Material: SrY2WN4
Method: DFT, PBE
State: relaxed

```
16
Lattice="1.7117 -6.1075 0.0000 1.7117 6.1075 0.0000 0.0000 0.0000 12.1907" Properties=species:S:1:pos:R:3 pbc="T T T"
Sr 1.7117 5.1234 9.1430
Sr 1.7117 -5.1234 3.0477
Y 1.7117 1.5649 6.5539
Y 1.7117 1.5649 11.7321
Y 1.7117 -1.5649 0.4585
Y 1.7117 -1.5649 5.6368
W 1.7117 3.8976 3.0477
W 1.7117 -3.8976 9.1430
N 0.0000 0.0000 0.0000
N 0.0000 0.0000 6.0953
N 1.7117 2.9233 1.4262
N 1.7117 2.9233 4.6691
N 1.7117 1.0637 9.1430
N 1.7117 -1.0637 3.0477
N 1.7117 -2.9233 7.5215
N 1.7117 -2.9233 10.7645
```

Values from the calculation:
- SG: No. 63
- Raw formation energy: -1058 meV per atom


Record 6
Material: KHfGa
Method: DFT, PBE
State: relaxed

```
6
Lattice="4.4220 0.0000 0.0000 0.0000 6.6616 3.1188 0.0000 -6.6616 3.1188" Properties=species:S:1:pos:R:3 pbc="T T T"
K 0.0000 0.0000 0.0000
K 2.2110 0.0000 2.8780
Hf 0.0000 -3.0250 3.8967
Hf 0.0000 3.0250 3.8967
Ga 2.2110 -3.8328 2.4008
Ga 2.2110 3.8328 2.4008
```

Values from the calculation:
- SG: No. 38
- Energy above the lowest structure with this stoichiometry: 357.1 meV/atom


Record 7
Material: Ca2CuOsC
Method: DFT, PBE
State: relaxed

```
5
Lattice="5.0530 0.0000 0.0000 0.0000 5.0530 0.0000 0.0000 0.0000 3.8754" Properties=species:S:1:pos:R:3 pbc="T T T"
Ca 0.0000 2.5265 0.0000
Ca 2.5265 0.0000 0.0000
Cu 0.0000 0.0000 1.9377
Os 2.5265 2.5265 1.9377
C 2.5265 2.5265 0.0000
```

Values from the calculation:
- SG: No. 123


Record 8
Material: ZnSeF
Method: DFT, PBE
State: relaxed

```
3
Lattice="2.9608 0.0000 0.0000 0.0000 3.6810 0.0000 0.0000 0.0000 5.8350" Properties=species:S:1:pos:R:3 pbc="T T T"
Zn 0.0000 0.0000 0.0000
Se 0.0000 1.8405 4.2090
F 1.4804 0.0000 1.2606
```

Values from the calculation:
- SG: No. 25
- Energy above the lowest structure with this stoichiometry: 139.6 meV/atom
- Raw formation energy: -1181 meV per atom


Record 9
Material: AcSm2SeO8
Method: DFT, PBE
State: relaxed

```
12
Lattice="4.5932 0.0000 0.0000 0.0137 5.1492 0.0000 2.2876 0.0036 6.5429" Properties=species:S:1:pos:R:3 pbc="T T T"
Ac 0.0000 0.0000 0.0000
Sm 2.3050 2.5722 1.9349
Sm 4.5895 2.5807 4.6081
Se 1.1438 0.0018 3.2715
O 2.1389 1.3019 4.0397
O 2.1517 3.8472 4.0374
O 3.3833 2.5787 6.5354
O 2.1496 0.0029 1.6563
O 4.7448 5.1500 4.8866
O 3.5112 2.5741 0.0075
O 4.7427 1.3056 2.5056
O 4.7555 3.8509 2.5033
```

Values from the calculation:
- SG: No. 2
- Raw formation energy: -2317 meV per atom


Record 10
Material: Ca3Al2Sb4
Method: DFT, PBE
State: relaxed

```
18
Lattice="6.9638 0.0000 0.0000 0.0000 16.9446 0.0000 0.0000 0.0000 4.5251" Properties=species:S:1:pos:R:3 pbc="T T T"
Ca 0.0000 0.0000 0.0000
Ca 1.5524 5.1506 2.2626
Ca 1.9295 13.6229 0.0000
Ca 3.4819 8.4723 2.2626
Ca 5.0343 3.3217 0.0000
Ca 5.4114 11.7939 2.2626
Al 0.9607 9.9411 0.0000
Al 2.5212 1.4689 2.2626
Al 4.4427 15.4757 2.2626
Al 6.0031 7.0034 0.0000
Sb 1.6445 2.8380 0.0000
Sb 1.7073 7.3154 0.0000
Sb 1.7746 15.7876 2.2626
Sb 1.8374 11.3103 2.2626
Sb 5.1264 5.6343 2.2626
Sb 5.1892 1.1569 2.2626
Sb 5.2565 9.6292 0.0000
Sb 5.3194 14.1065 0.0000
```

Values from the calculation:
- SG: No. 58
- Raw formation energy: -681 meV per atom


Record 11
Material: ScTa7
Method: DFT, PBE
State: relaxed

```
8
Lattice="0.0000 4.2386 4.2386 4.2386 0.0000 4.2386 4.2386 4.2386 0.0000" Properties=species:S:1:pos:R:3 pbc="T T T"
Sc 0.0000 0.0000 0.0000
Ta 2.1193 2.1193 0.0000
Ta 2.1193 0.0000 2.1193
Ta 4.2386 2.1193 2.1193
Ta 0.0000 2.1193 2.1193
Ta 2.1193 4.2386 2.1193
Ta 2.1193 2.1193 4.2386
Ta 4.2386 4.2386 4.2386
```

Values from the calculation:
- SG: No. 225


Record 12
Material: Si2TeIr
Method: DFT, PBE
State: relaxed

```
4
Lattice="-2.6381 2.6381 2.6434 2.6381 -2.6381 2.6434 2.6381 2.6381 -2.6434" Properties=species:S:1:pos:R:3 pbc="T T T"
Si 2.6381 0.0000 0.0000
Si 0.0000 2.6381 0.0000
Te 0.0000 0.0000 0.0000
Ir 0.0000 0.0000 2.6434
```

Values from the calculation:
- SG: No. 139
- Raw formation energy: 313 meV per atom


Record 13
Material: Pu2CoAs4Pd3
Method: DFT, PBE
State: relaxed

```
10
Lattice="4.2988 0.0000 0.0000 0.0000 4.2988 0.0000 0.0000 0.0000 10.1044" Properties=species:S:1:pos:R:3 pbc="T T T"
Pu 0.0000 2.1494 2.5027
Pu 2.1494 0.0000 7.6017
Co 2.1494 2.1494 0.0000
As 0.0000 0.0000 5.0522
As 0.0000 2.1494 8.8084
As 2.1494 0.0000 1.2960
As 2.1494 2.1494 5.0522
Pd 0.0000 0.0000 0.0000
Pd 0.0000 2.1494 6.3692
Pd 2.1494 0.0000 3.7352
```

Values from the calculation:
- SG: No. 115


Record 14
Material: NiAu6
Method: DFT, PBE
State: relaxed

```
7
Lattice="2.3024 1.3293 6.5758 -2.3024 1.3293 6.5758 0.0000 -2.6586 6.5758" Properties=species:S:1:pos:R:3 pbc="T T T"
Ni 0.0000 0.0000 0.0000
Au 0.0000 0.0000 2.7326
Au 0.0000 0.0000 5.6703
Au 0.0000 0.0000 8.4273
Au 0.0000 0.0000 11.3002
Au 0.0000 0.0000 14.0572
Au 0.0000 0.0000 16.9949
```

Values from the calculation:
- SG: No. 166


Record 15
Material: Pm3Cd2Ga4
Method: DFT, PBE
State: relaxed

```
9
Lattice="5.5187 -2.2942 0.0000 5.5187 2.2942 0.0000 -3.0283 0.0000 8.3421" Properties=species:S:1:pos:R:3 pbc="T T T"
Pm 0.0000 0.0000 0.0000
Pm 2.6281 0.0000 2.7801
Pm 5.3811 0.0000 5.5620
Cd 2.1703 0.0000 6.0750
Cd 5.8389 0.0000 2.2672
Ga -0.4710 0.0000 3.4607
Ga 0.3496 0.0000 8.1246
Ga 7.6596 0.0000 0.2175
Ga 8.4802 0.0000 4.8814
```

Values from the calculation:
- SG: No. 12
- Energy above the lowest structure with this stoichiometry: 0.0 meV/atom


Record 16
Material: HoNp2UAs4
Method: DFT, PBE
State: relaxed

```
8
Lattice="7.0874 0.0000 0.0000 0.0000 4.0890 0.0000 -2.3662 0.0000 6.6857" Properties=species:S:1:pos:R:3 pbc="T T T"
Ho 0.0000 0.0000 0.0000
Np 2.3606 0.0000 3.3428
Np 3.5437 2.0445 0.0000
U -1.1831 2.0445 3.3428
As -0.0144 0.0000 5.0111
As 1.1689 2.0445 1.6819
As 3.5523 2.0445 5.0038
As 4.7356 0.0000 1.6746
```

Values from the calculation:
- SG: No. 10


Record 17
Material: PtPbSN2
Method: DFT, PBE
State: relaxed

```
5
Lattice="4.2053 0.0000 0.0000 0.0000 4.2053 0.0000 0.0000 0.0000 5.5012" Properties=species:S:1:pos:R:3 pbc="T T T"
Pt 0.0000 0.0000 0.0000
Pb 2.1026 2.1026 2.7506
S 2.1026 2.1026 0.0000
N 0.0000 2.1026 2.7506
N 2.1026 0.0000 2.7506
```

Values from the calculation:
- SG: No. 123
- Energy above the lowest structure with this stoichiometry: 1071.5 meV/atom
- Raw formation energy: 2082 meV per atom


Record 18
Material: La5NdTl2In
Method: DFT, PBE
State: relaxed

```
18
Lattice="-4.4948 4.4948 7.2363 4.4948 -4.4948 7.2363 4.4948 4.4948 -7.2363" Properties=species:S:1:pos:R:3 pbc="T T T"
La 0.0000 0.0000 0.0000
La 6.2858 1.7910 -2.0177
La 1.7910 2.7038 -2.0177
La 6.2858 1.7910 2.0177
La 1.7910 2.7038 2.0177
La 0.0000 0.0000 7.2363
La 2.7038 1.7910 5.2186
La -1.7910 2.7038 5.2186
La 2.7038 1.7910 9.2540
La -1.7910 2.7038 9.2540
Nd 4.4948 0.0000 3.6182
Nd 0.0000 4.4948 3.6182
Tl 3.4780 1.0168 0.0000
Tl 3.4780 -1.0168 7.2363
Tl 1.0168 5.5116 0.0000
Tl 1.0168 3.4780 7.2363
In 0.0000 0.0000 3.6182
In 0.0000 0.0000 10.8545
```

Values from the calculation:
- SG: No. 140


Record 19
Material: TmPaGaHg
Method: DFT, PBE
State: relaxed

```
4
Lattice="0.0000 3.6380 3.6380 3.6380 0.0000 3.6380 3.6380 3.6380 0.0000" Properties=species:S:1:pos:R:3 pbc="T T T"
Tm 0.0000 0.0000 0.0000
Pa 3.6380 3.6380 3.6380
Ga 5.4570 5.4570 5.4570
Hg 1.8190 1.8190 1.8190
```

Values from the calculation:
- SG: No. 216


Record 20
Material: Li2PaHgSe4
Method: DFT, PBE
State: relaxed

```
8
Lattice="6.9109 0.0000 0.0000 0.0000 4.0669 0.0000 -2.4990 0.0000 6.6917" Properties=species:S:1:pos:R:3 pbc="T T T"
Li 0.0000 0.0000 0.0000
Li -1.2495 2.0335 3.3459
Pa 2.2059 0.0000 3.3459
Hg 3.4554 2.0335 0.0000
Se 0.9671 2.0335 1.7522
Se -0.1164 0.0000 4.9283
Se 4.5283 0.0000 1.7635
Se 3.4448 2.0335 4.9396
```

Values from the calculation:
- SG: No. 10
- Raw formation energy: -983 meV per atom


Number 1: final energy -3.88 eV/atom. Number 2: final energy -3.08 eV/atom. Number 3: final energy -8.42 eV/atom. Number 4: final energy -1.07 eV/atom. Number 5: final energy -8.67 eV/atom. Number 6: final energy -4.41 eV/atom. Number 7: final energy -5.60 eV/atom. Number 8: final energy -3.39 eV/atom. Number 9: final energy -7.04 eV/atom. Number 10: final energy -4.01 eV/atom. Number 11: final energy -10.91 eV/atom. Number 12: final energy -5.40 eV/atom. Number 13: final energy -7.55 eV/atom. Number 14: final energy -3.55 eV/atom. Number 15: final energy -3.67 eV/atom. Number 16: final energy -8.42 eV/atom. Number 17: final energy -4.02 eV/atom. Number 18: final energy -4.25 eV/atom. Number 19: final energy -4.48 eV/atom. Number 20: final energy -4.43 eV/atom.